! Rb2MoNF, optimized geometry, DFT PBE+U; values from VASP
! V = 40.42 Å³/atom
! total DFT energy (no corrections) = -3.28 eV/atom
! M_tot = 6.00 μB/f.u.
! N(E_F) = 6.65 states/eV/f.u.
&SYSTEM
  ibrav = 0, nat = 5, ntyp = 4
/
ATOMIC_SPECIES
Rb 85.47 Rb.upf
Mo 95.94 Mo.upf
N 14.01 N.upf
F 19.00 F.upf
CELL_PARAMETERS angstrom
-1.233 2.218 -6.420
-1.225 -3.904 -1.113
-6.493 1.531 1.776
ATOMIC_POSITIONS crystal
Rb 0.500 0.000 0.000
Mo 0.000 0.000 0.000
N 0.500 0.500 0.500
F 0.000 0.500 0.000
Rb 0.000 0.000 0.500